The following is a DFT calculation (PBE+U) of crystalline K2Nb3VO12 at its relaxed geometry.

```
data_K2Nb3VO12
_symmetry_space_group_name_H-M 'P 1'
_symmetry_Int_Tables_number 1
_cell_length_a 7.359
_cell_length_b 7.359
_cell_length_c 7.359
_cell_angle_alpha 60.96
_cell_angle_beta 60.96
_cell_angle_gamma 60.96
loop_
_symmetry_equiv_pos_as_xyz
'x,y,z'
loop_
_atom_site_label
_atom_site_type_symbol
_atom_site_fract_x
_atom_site_fract_y
_atom_site_fract_z
O1 O 0.319 0.319 0.938
O2 O 0.319 0.938 0.319
O3 O 0.681 0.681 0.062
O4 O 0.942 0.297 0.942
O5 O 0.938 0.319 0.319
O6 O 0.297 0.942 0.942
O7 O 0.942 0.942 0.297
O8 O 0.058 0.703 0.058
O9 O 0.681 0.062 0.681
O10 O 0.058 0.058 0.703
O11 O 0.703 0.058 0.058
O12 O 0.062 0.681 0.681
Nb1 Nb 0.000 0.500 0.000
Nb2 Nb 0.000 0.000 0.500
Nb3 Nb 0.500 0.000 0.000
K1 K 0.623 0.623 0.623
K2 K 0.377 0.377 0.377
V1 V 0.000 0.000 0.000
```

Output
* ρ: 3.460 Mg/m³
* calculated total energy: -7.599 eV per atom
* V: 287.9 Å³/cell